Computed, not measured: Sc6Sb5Te after structural relaxation at the PBE level of DFT.

raw formation energy = -1.00 eV per atom
size of the total moment = 0.000 μB per atom
total energy = -6.141 eV per atom

Cell: 7.2118 12.4816 7.2117 Å, 90.00 109.45 90.00°
Space group C2/m (No. 12)
Unique sites:
Sc: 0.2451 0.0000 0.2518
Sc: 0.2461 0.1692 0.7465
Sb: 0.0000 0.0000 0.5000
Sb: 0.0000 0.1672 0.0000
Sb: 0.0000 0.3354 0.5000
Te: 0.0000 0.5000 0.0000